Compound: YRe2Br
Source: the Alexandria database
Functional: SCAN
Structure: single point on PBEsol structure

Structure (CIF):
```
data_YRe2Br
_chemical_formula_sum 'Y3 Re6 Br3'
_symmetry_space_group_name_H-M 'R -3 m'
_symmetry_Int_Tables_number 166
_symmetry_space_group_name_Hall '-R 3 2"'
_cell_length_a 3.0031
_cell_length_b 3.0031
_cell_length_c 27.4192
_cell_angle_alpha 90.00
_cell_angle_beta 90.00
_cell_angle_gamma 120.00
loop_
_atom_site_label
_atom_site_type_symbol
_atom_site_fract_x
_atom_site_fract_y
_atom_site_fract_z
Y1 Y 0.0000 0.0000 0.0000
Re1 Re 0.0000 0.0000 0.2444
Br1 Br 0.0000 0.0000 0.5000
```

## Properties
The raw formation energy comes out at 1.148 eV per atom. Its magnetization is 0.00 Bohr magnetons per cell. As for the total energy: -46.226 eV per atom.